This record from the Alexandria database describes a relaxed structure of MnNiMo2. The functional is PBE.

The value obtained for the total energy is -8.9177 eV/atom. For the energy relative to the elements, the calculation gives 236 meV/atom. As for the energy above the most stable polymorph in this dataset: 0.69 eV per formula unit.

a = 4.2383 Å, b = 4.2383 Å, c = 4.2383 Å
α = 60.00°, β = 60.00°, γ = 60.00°
With the nearest neighbours (Å) after each atom.
Atoms (fractional coordinates):
1 Mn 0.0000 0.0000 0.0000  8 Mo 2.60
2 Ni 0.5000 0.5000 0.5000  8 Mo 2.60
3 Mo 0.2500 0.2500 0.2500  4 Mn 2.60, 4 Ni 2.60
4 Mo 0.7500 0.7500 0.7500  4 Mn 2.60, 4 Ni 2.60